1.
First-principles (GGA-PBEsol) data for a geometry-optimized KAgF3 structure, as listed in Alexandria via LeMat-Bulk.

Summary:
Formation energy (no corrections): -179 kJ/mol of atoms

Cell: 4.300 4.300 4.300 Å, 90.00 90.00 90.00°
Space group Pm-3m (No. 221)
Inequivalent atoms, fractional coordinates:
K1 0.000 0.000 0.000 (multiplicity 1)
Ag1 0.500 0.500 0.500 (multiplicity 1)
F1 0.000 0.500 0.500 (multiplicity 3)


2.
First-principles (GGA-PBEsol) data for a geometry-optimized KBa2W2 structure, as listed in Alexandria via LeMat-Bulk.

Summary:
ΔE_f: 398 kJ/mol of formula units

Cell: 3.708 3.708 26.636 Å, 90.00 90.00 90.00°
Space group I4/mmm (No. 139)
Inequivalent atoms, fractional coordinates:
K1 0.000 0.000 0.000 (multiplicity 2)
Ba1 0.000 0.000 0.355 (multiplicity 4)
W1 0.000 0.500 0.250 (multiplicity 4)


3.
First-principles (GGA-PBEsol) data for a geometry-optimized Ca3InRu structure, as listed in Alexandria via LeMat-Bulk.

Summary:
ΔE_f: 86 kJ/mol of formula units

Cell: 5.333 5.333 5.333 Å, 90.00 90.00 90.00°
Space group Pm-3m (No. 221)
Inequivalent atoms, fractional coordinates:
Ca1 0.000 0.000 0.500 (multiplicity 3)
In1 0.500 0.500 0.500 (multiplicity 1)
Ru1 0.000 0.000 0.000 (multiplicity 1)


4.
First-principles (GGA-PBEsol) data for a geometry-optimized Y3Ge5 structure, as listed in Alexandria via LeMat-Bulk.

Summary:
ΔE_f: -617 kJ/mol of formula units

Cell: 5.695 17.123 13.597 Å, 90.00 90.00 90.00°
Space group Fdd2 (No. 43)
Inequivalent atoms, fractional coordinates:
Y1 0.000 0.000 0.000 (multiplicity 8)
Y2 0.015 0.332 0.993 (multiplicity 16)
Ge1 0.000 0.000 0.550 (multiplicity 8)
Ge2 0.001 0.163 0.913 (multiplicity 16)
Ge3 0.061 0.315 0.596 (multiplicity 16)


5.
First-principles (GGA-PBEsol) data for a geometry-optimized MgZnRh2 structure, as listed in Alexandria via LeMat-Bulk.

Summary:
ΔE_f: -131 kJ/mol of formula units

Cell: 9.644 2.833 4.487 Å, 90.00 113.04 90.00°
Space group Cm (No. 8)
Inequivalent atoms, fractional coordinates:
Mg1 0.000 0.000 0.000 (multiplicity 2)
Zn1 0.231 0.000 0.600 (multiplicity 2)
Rh1 0.253 0.500 0.110 (multiplicity 2)
Rh2 0.486 0.000 0.500 (multiplicity 2)


6.
First-principles (GGA-PBEsol) data for a geometry-optimized Mg2AlAs structure, as listed in Alexandria via LeMat-Bulk.

Summary:
ΔE_f: -31 kJ/mol of formula units

Cell: 3.7369 3.7369 22.4311 Å, 90.00 90.00 120.00°
Space group R3m (No. 160, hexagonal axes)
Inequivalent atoms, fractional coordinates:
Mg1 0.0000 0.0000 0.0000 (multiplicity 3)
Mg2 0.0000 0.0000 0.2260 (multiplicity 3)
Al1 0.0000 0.0000 0.7627 (multiplicity 3)
As1 0.0000 0.0000 0.4842 (multiplicity 3)


7.
First-principles (GGA-PBEsol) data for a geometry-optimized KSb structure, as listed in Alexandria via LeMat-Bulk.

Summary:
Formation energy (no corrections): -35 kJ/mol of atoms

Cell: 4.185 5.727 11.853 Å, 90.00 90.00 90.00°
Space group Imma (No. 74)
Inequivalent atoms, fractional coordinates:
K1 0.000 0.250 0.112 (multiplicity 4)
Sb1 0.000 0.250 0.667 (multiplicity 4)


8.
First-principles (GGA-PBEsol) data for a geometry-optimized HgPt2W structure, as listed in Alexandria via LeMat-Bulk.

Summary:
ΔE_f: 31 kJ/mol of formula units

Cell: 9.341 2.799 4.991 Å, 90.00 98.70 90.00°
Space group Cm (No. 8)
Inequivalent atoms, fractional coordinates:
Hg1 0.000 0.000 0.000 (multiplicity 2)
Pt1 0.005 0.500 0.511 (multiplicity 2)
Pt2 0.254 0.500 0.224 (multiplicity 2)
W1 0.246 0.000 0.698 (multiplicity 2)


9.
First-principles (GGA-PBEsol) data for a geometry-optimized TaFeCu structure, as listed in Alexandria via LeMat-Bulk.

Summary:
ΔE_f: 51 kJ/mol of formula units

Cell: 3.500 4.021 11.452 Å, 90.00 90.00 90.00°
Space group Fmm2 (No. 42)
Inequivalent atoms, fractional coordinates:
Ta1 0.000 0.000 0.000 (multiplicity 4)
Fe1 0.000 0.000 0.327 (multiplicity 4)
Cu1 0.000 0.000 0.677 (multiplicity 4)


10.
First-principles (GGA-PBEsol) data for a geometry-optimized TePb2Se structure, as listed in Alexandria via LeMat-Bulk.

Summary:
Formation energy (no corrections): -22 kJ/mol of atoms

Cell: 7.613 7.613 7.613 Å, 90.00 90.00 90.00°
Space group Fm-3m (No. 225)
Inequivalent atoms, fractional coordinates:
Te1 0.000 0.000 0.000 (multiplicity 4)
Pb1 0.250 0.250 0.250 (multiplicity 8)
Se1 0.000 0.000 0.500 (multiplicity 4)


11.
First-principles (GGA-PBEsol) data for a geometry-optimized Cu2OF2 structure, as listed in Alexandria via LeMat-Bulk.

Summary:
Formation energy (no corrections): -103 kJ/mol of atoms

Cell: 8.864 5.183 13.869 Å, 90.00 92.22 90.00°
Space group C2/c (No. 15)
Inequivalent atoms, fractional coordinates:
Cu1 0.009 0.071 0.155 (multiplicity 8)
Cu2 0.134 0.433 0.819 (multiplicity 8)
Cu3 0.154 0.479 0.514 (multiplicity 8)
O1 0.000 0.207 0.750 (multiplicity 4)
O2 0.006 0.396 0.411 (multiplicity 8)
F1 0.163 0.081 0.915 (multiplicity 8)
F2 0.180 0.215 0.235 (multiplicity 8)
F3 0.204 0.097 0.588 (multiplicity 8)


12.
First-principles (GGA-PBEsol) data for a geometry-optimized Rb2ErTiP3O12 structure, as listed in Alexandria via LeMat-Bulk.

Summary:
Formation energy (no corrections): -260 kJ/mol of atoms

Cell: 10.202 10.202 10.202 Å, 90.00 90.00 90.00°
Space group P2_13 (No. 198)
Inequivalent atoms, fractional coordinates:
Rb1 0.042 0.458 0.542 (multiplicity 4)
Rb2 0.176 0.176 0.176 (multiplicity 4)
Er1 0.169 0.831 0.331 (multiplicity 4)
Ti1 0.108 0.608 0.892 (multiplicity 4)
P1 0.008 0.300 0.865 (multiplicity 12)
O1 0.013 0.450 0.835 (multiplicity 12)
O2 0.022 0.413 0.228 (multiplicity 12)
O3 0.048 0.732 0.760 (multiplicity 12)
O4 0.104 0.643 0.256 (multiplicity 12)


Please write out number 2 again, unchanged.
First-principles (GGA-PBEsol) data for a geometry-optimized KBa2W2 structure, as listed in Alexandria via LeMat-Bulk.

Summary:
ΔE_f: 398 kJ/mol of formula units

Cell: 3.708 3.708 26.636 Å, 90.00 90.00 90.00°
Space group I4/mmm (No. 139)
Inequivalent atoms, fractional coordinates:
K1 0.000 0.000 0.000 (multiplicity 2)
Ba1 0.000 0.000 0.355 (multiplicity 4)
W1 0.000 0.500 0.250 (multiplicity 4)